A plane-wave DFT calculation with PBE was carried out for a relaxed structure of RbNbZn3.

a b c (Å): 5.319 5.319 5.319
angles (deg): 90.00 90.00 90.00
Space group Pm-3m (No. 221)
Unique sites:
Rb  0.000  0.000  0.000 (multiplicity 1)
Nb  0.500  0.500  0.500 (multiplicity 1)
Zn  0.000  0.500  0.500 (multiplicity 3)

Summary:
V   150.5 Å³/f.u.
E above lowest polymorph   0.000 eV/atom
Magnetic moment   3.03 μB per formula unit
Mass density   4.1 g cm⁻³
Formation enthalpy at 0 K   60 kJ/mol of atoms
VASP energy   -11.8 eV per cell